[1]
The following is a PBE calculation of a geometry-optimized Ho6ErTm12 structure, from Alexandria.

Calculated values
Final energy (eV/atom): -4.29

Lattice parameters (Å, degrees): 12.9400 12.9400 12.4116 90.00 90.00 120.00
With the nearest neighbours (Å) after each atom.
Space group R-3m (No. 166, hexagonal axes)
Unique sites:
Ho 0.0381 0.5190 0.1202 (multiplicity 18)  1 Ho 3.10, 1 Er 3.36, 2 Tm 3.38
Er 0.0000 0.0000 0.5000 (multiplicity 3)  6 Ho 3.36
Tm 0.0000 0.2572 0.0000 (multiplicity 18)  6 Tm 3.28-3.48, 4 Ho 3.38-3.50
Tm 0.0906 0.1812 0.7639 (multiplicity 18)  6 Tm 3.28-3.52, 2 Ho 3.62

---

[2]
The following is a PBE calculation of a geometry-optimized ZrPaRhAu structure, from Alexandria.

Calculated values
Final energy (eV/atom): -7.56

Lattice parameters (Å, degrees): 6.9190 6.9190 6.9190 90.00 90.00 90.00
With the nearest neighbours (Å) after each atom.
Space group F-43m (No. 216)
Unique sites:
Zr 0.0000 0.0000 0.0000 (multiplicity 4)  4 Rh 3.00, 4 Au 3.00
Pa 0.0000 0.0000 0.5000 (multiplicity 4)  4 Rh 3.00, 4 Au 3.00
Rh 0.2500 0.2500 0.2500 (multiplicity 4)  4 Zr 3.00, 4 Pa 3.00
Au 0.2500 0.2500 0.7500 (multiplicity 4)  4 Zr 3.00, 4 Pa 3.00

---

[3]
The following is a PBE calculation of a geometry-optimized TaReCl structure, from Alexandria.

Calculated values
Formation energy without anion corrections (eV per atom): 0.343

Lattice parameters (Å, degrees): 3.0389 3.0389 13.2848 90.00 90.00 90.00
With the nearest neighbours (Å) after each atom.
Space group I4mm (No. 107)
Unique sites:
Ta 0.0000 0.0000 0.0000 (multiplicity 2)  4 Re 2.64, 4 Cl 2.86
Re 0.0000 0.0000 0.6156 (multiplicity 2)  4 Ta 2.64
Cl 0.0000 0.0000 0.3574 (multiplicity 2)  4 Ta 2.86, 4 Cl 3.04

---

[4]
The following is a PBE calculation of a geometry-optimized BaBiS2Cl structure, from Alexandria.

Calculated values
Formation energy without anion corrections (eV per atom): -1.067

Lattice parameters (Å, degrees): 5.4116 5.4116 5.3401 90.00 90.00 90.00
With the nearest neighbours (Å) after each atom.
Space group P4/mmm (No. 123)
Unique sites:
Ba 0.0000 0.0000 0.0000 (multiplicity 1)  8 S 3.80, 4 Cl 3.83
Bi 0.5000 0.5000 0.5000 (multiplicity 1)  2 Cl 2.67, 4 S 2.71
S 0.0000 0.5000 0.5000 (multiplicity 2)  2 Bi 2.71
Cl 0.5000 0.5000 0.0000 (multiplicity 1)  2 Bi 2.67

---

[5]
The following is a PBE calculation of a geometry-optimized Cr2FeHg structure, from Alexandria.

Calculated values
Final energy (eV/atom): -6.48

Lattice parameters (Å, degrees): 8.9028 2.8528 4.6928 90.00 102.53 90.00
With the nearest neighbours (Å) after each atom.
Space group C2/m (No. 12)
Unique sites:
Cr 0.2378 0.0000 0.1686 (multiplicity 4)  2 Cr 2.18
Fe 0.0000 0.5000 0.0000 (multiplicity 2)  6 Cr 2.53-2.62, 4 Hg 2.75
Hg 0.0000 0.0000 0.5000 (multiplicity 2)  4 Fe 2.75, 2 Hg 2.85, 6 Cr 2.89

---

[6]
The following is a PBE calculation of a geometry-optimized Sc2ReRu structure, from Alexandria.

Calculated values
Final energy (eV/atom): -8.67

Lattice parameters (Å, degrees): 3.2135 4.8713 8.6085 90.00 90.00 90.00
With the nearest neighbours (Å) after each atom.
Space group Immm (No. 71)
Unique sites:
Sc 0.0000 0.0000 0.2452 (multiplicity 4)  2 Ru 2.65, 2 Re 2.72, 4 Sc 2.92
Re 0.0000 0.5000 0.0000 (multiplicity 2)  4 Sc 2.72, 4 Ru 2.92
Ru 0.0000 0.5000 0.5000 (multiplicity 2)  4 Sc 2.65, 4 Re 2.92

---

[7]
The following is a PBE calculation of a geometry-optimized Ac8PmPr5 structure, from Alexandria.

Calculated values
Final energy (eV/atom): -4.34

Lattice parameters (Å, degrees): 7.6105 9.2920 9.6380 114.31 101.52 101.89
With the nearest neighbours (Å) after each atom.
Space group P1 (No. 1)
Unique sites:
Ac 0.0000 0.0000 0.0000 (multiplicity 1)  8 Ac 3.76-4.08, 4 Pr 3.80-4.03
Ac 0.0315 0.8303 0.2937 (multiplicity 1)  6 Pr 3.43-3.82, 1 Ac 3.76, 1 Pm 3.83
Ac 0.1066 0.5586 0.8711 (multiplicity 1)  8 Ac 3.79-4.09, 4 Pr 3.91-4.11, 1 Pm 4.12
Ac 0.3939 0.4185 0.1548 (multiplicity 1)  5 Pr 3.42-3.82
Ac 0.4976 0.9977 0.0030 (multiplicity 1)  4 Pr 3.60-4.01, 5 Ac 3.79-4.01, 1 Pm 3.85
Ac 0.6013 0.5564 0.8589 (multiplicity 1)  5 Pr 3.73-4.10, 7 Ac 3.79-4.13, 1 Pm 4.02
Ac 0.6999 0.1101 0.7052 (multiplicity 1)  5 Pr 3.53-3.84, 2 Ac 3.89-3.91, 1 Pm 3.95
Ac 0.9193 0.2507 0.4228 (multiplicity 1)  6 Pr 3.57-3.99, 3 Ac 3.82-3.97, 1 Pm 3.96
Pm 0.3076 0.6789 0.5525 (multiplicity 1)  6 Pr 3.79-4.07, 7 Ac 3.83-4.12
Pr 0.2087 0.1198 0.7150 (multiplicity 1)  8 Ac 3.59-4.00, 2 Pr 3.88-4.00
Pr 0.4158 0.2391 0.4259 (multiplicity 1)  8 Ac 3.63-4.03, 2 Pr 3.75-3.88
Pr 0.5319 0.8396 0.2877 (multiplicity 1)  5 Ac 3.42-3.81, 1 Pr 3.75
Pr 0.8108 0.6815 0.5538 (multiplicity 1)  2 Pm 3.79-3.82, 7 Ac 3.82-4.11, 4 Pr 3.93-4.09
Pr 0.8845 0.4049 0.1384 (multiplicity 1)  7 Ac 3.43-3.82

---

[8]
The following is a PBE calculation of a geometry-optimized Ge2TeRhCl structure, from Alexandria.

Calculated values
Formation energy without anion corrections (eV per atom): 0.733

Lattice parameters (Å, degrees): 5.6052 5.6052 4.8254 90.00 90.00 90.00
With the nearest neighbours (Å) after each atom.
Space group P4/mmm (No. 123)
Unique sites:
Ge 0.0000 0.5000 0.0000 (multiplicity 2)  2 Te 2.80
Te 0.0000 0.0000 0.0000 (multiplicity 1)  2 Rh 2.41
Rh 0.0000 0.0000 0.5000 (multiplicity 1)  2 Te 2.41
Cl 0.5000 0.5000 0.5000 (multiplicity 1)  8 Ge 3.70, 4 Rh 3.96

---

Copy entry 8 word for word.
The following is a PBE calculation of a geometry-optimized Ge2TeRhCl structure, from Alexandria.

Calculated values
Formation energy without anion corrections (eV per atom): 0.733

Lattice parameters (Å, degrees): 5.6052 5.6052 4.8254 90.00 90.00 90.00
With the nearest neighbours (Å) after each atom.
Space group P4/mmm (No. 123)
Unique sites:
Ge 0.0000 0.5000 0.0000 (multiplicity 2)  2 Te 2.80
Te 0.0000 0.0000 0.0000 (multiplicity 1)  2 Rh 2.41
Rh 0.0000 0.0000 0.5000 (multiplicity 1)  2 Te 2.41
Cl 0.5000 0.5000 0.5000 (multiplicity 1)  8 Ge 3.70, 4 Rh 3.96